[1]
The following is a DFT calculation (PBE) of a geometry-optimized K2LiZn structure.

As for the space-group type: I-4m2 (119). For the magnetization, the calculation gives 0.000 μB/f.u. As for the formation energy from the elements: 0.20 eV/atom.

Cell lengths 6.1567, 6.1567, 6.1567 Å; angles 126.22, 126.22, 79.52 degrees
Last column: nearest neighbours and their distance in Å.
Sites, in units of the cell vectors:
1 K 0.0000 0.0000 0.0000  4 Li 3.65, 4 K 3.65, 4 Zn 3.94
2 K 0.7500 0.2500 0.5000  4 K 3.65, 4 Zn 3.65, 4 Li 3.94
3 Li 0.2500 0.7500 0.5000  8 K 3.65-3.94, 4 Zn 3.65
4 Zn 0.5000 0.5000 0.0000  4 Li 3.65, 8 K 3.65-3.94

---

[2]
The following is a DFT calculation (PBE) of a geometry-optimized Ac2HfTl3Te6 structure.

As for the energy relative to the elements, uncorrected: -0.902 eV/atom. As for the space-group type: C2/m (12). For the magnetization, the calculation gives 0.000 μB/f.u.

Cell lengths 7.9471, 7.9471, 8.5764 Å; angles 98.94, 98.94, 119.74 degrees
Last column: nearest neighbours and their distance in Å.
Sites, in units of the cell vectors:
1 Ac 0.1650 0.8350 0.0000  6 Te 3.32-3.34
2 Ac 0.8350 0.1650 0.0000  6 Te 3.32-3.34
3 Hf 0.5000 0.5000 0.0000  6 Te 2.95-2.99
4 Tl 0.0000 0.0000 0.5000  6 Te 3.42-3.71
5 Tl 0.3239 0.6761 0.5000  6 Te 3.43-3.65
6 Tl 0.6761 0.3239 0.5000  6 Te 3.43-3.65
7 Te 0.1306 0.4281 0.7833  1 Hf 2.95
8 Te 0.2792 0.2792 0.2257  1 Hf 2.99, 2 Ac 3.34
9 Te 0.4281 0.1306 0.7833  1 Hf 2.95
10 Te 0.5719 0.8694 0.2167  1 Hf 2.95
11 Te 0.7208 0.7208 0.7743  1 Hf 2.99, 2 Ac 3.34
12 Te 0.8694 0.5719 0.2167  1 Hf 2.95